Entry 1:
! FeCSCl2 | Alexandria via LeMat-Bulk | GGA-PBEsol | relaxed; values from VASP
&SYSTEM
  ibrav = 0, nat = 5, ntyp = 4
/
ATOMIC_SPECIES
C 12.01 C.upf
S 32.06 S.upf
Fe 55.84 Fe.upf
Cl 35.45 Cl.upf
ATOMIC_POSITIONS crystal
C 0.5000 0.5000 0.5000
S 0.5000 0.0000 0.0000
Fe 0.0000 0.0000 0.0000
Cl 0.0000 0.0000 0.5000
Cl 0.0000 0.5000 0.0000
CELL_PARAMETERS angstrom
-4.3450 0.4300 0.8354
-0.8880 -0.3884 -4.4191
-0.3545 -4.4862 0.4656
! magnetization	4.38	μB per formula unit
! total energy	-4.064	eV per atom
! raw formation energy	1.3371	eV per atom

Entry 2:
! GaPH11C3Cl | Alexandria via LeMat-Bulk | GGA-PBEsol | relaxed; values from VASP
&SYSTEM
  ibrav = 0, nat = 34, ntyp = 5
/
ATOMIC_SPECIES
Ga 69.72 Ga.upf
P 30.97 P.upf
H 1.01 H.upf
C 12.01 C.upf
Cl 35.45 Cl.upf
ATOMIC_POSITIONS crystal
Ga 0.2766 0.6622 0.7359
Ga 0.7234 0.3378 0.2641
P 0.3530 0.3072 0.7395
P 0.6470 0.6928 0.2605
H 0.2993 0.2722 0.4993
H 0.6957 0.7308 0.0151
H 0.7007 0.7278 0.5007
H 0.3043 0.2692 0.9849
H 0.2106 0.7458 0.5879
H 0.8738 0.2313 0.1316
H 0.7894 0.2542 0.4121
H 0.1262 0.7687 0.8684
H 0.2680 0.0737 0.6029
H 0.7257 0.9294 0.1104
H 0.7320 0.9263 0.3971
H 0.2743 0.0706 0.8896
H 0.0323 0.3321 0.6046
H 0.9637 0.6717 0.1009
H 0.9677 0.6679 0.3954
H 0.0363 0.3283 0.8991
H 0.7474 0.1654 0.6307
H 0.2526 0.8346 0.3693
H 0.6963 0.9769 0.7353
H 0.3037 0.0231 0.2647
H 0.7541 0.1741 0.8136
H 0.2459 0.8259 0.1864
C 0.2273 0.2389 0.5979
C 0.7686 0.7638 0.1070
C 0.7727 0.7611 0.4021
C 0.2314 0.2362 0.8930
C 0.6684 0.1391 0.7289
C 0.3316 0.8609 0.2711
Cl 0.6508 0.6302 0.7624
Cl 0.3492 0.3698 0.2376
CELL_PARAMETERS angstrom
-2.9702 3.0606 4.5520
-5.0295 -3.7512 3.5395
6.4757 -2.6810 6.7956
! magnetization	0.00	μB per formula unit
! total energy	-4.721	eV per atom

Entry 3:
! Mg2GaCCl | Alexandria via LeMat-Bulk | GGA-PBEsol | relaxed; values from VASP
&SYSTEM
  ibrav = 0, nat = 5, ntyp = 4
/
ATOMIC_SPECIES
Mg 24.30 Mg.upf
C 12.01 C.upf
Ga 69.72 Ga.upf
Cl 35.45 Cl.upf
ATOMIC_POSITIONS crystal
Mg 0.0000 0.5000 0.0000
Mg 0.5000 0.0000 0.0000
C 0.0000 0.0000 0.0000
Ga 0.0000 0.0000 0.5000
Cl 0.5000 0.5000 0.5000
CELL_PARAMETERS angstrom
4.3996 0.0000 0.0000
0.0000 4.3996 0.0000
0.0000 0.0000 4.5012
! magnetization	0.00	μB per formula unit
! total energy	-3.650	eV per atom
! raw formation energy	0.0352	eV per atom

Entry 4:
! Nb2GaCCl | Alexandria via LeMat-Bulk | GGA-PBEsol | relaxed; values from VASP
&SYSTEM
  ibrav = 0, nat = 5, ntyp = 4
/
ATOMIC_SPECIES
Nb 92.91 Nb.upf
C 12.01 C.upf
Ga 69.72 Ga.upf
Cl 35.45 Cl.upf
ATOMIC_POSITIONS crystal
Nb 0.0000 0.0000 0.5000
Nb 0.0000 0.5000 0.0000
C 0.0000 0.0000 0.0000
Ga 0.5000 0.5000 0.5000
Cl 0.5000 0.0000 0.0000
CELL_PARAMETERS angstrom
4.1086 0.0000 0.0000
0.0000 4.3768 0.0000
0.0000 0.0000 4.3768
! magnetization	0.00	μB per formula unit
! total energy	-6.638	eV per atom
! raw formation energy	0.6891	eV per atom

Entry 5:
! GaCS2Cl | Alexandria via LeMat-Bulk | GGA-PBEsol | relaxed; values from VASP
&SYSTEM
  ibrav = 0, nat = 5, ntyp = 4
/
ATOMIC_SPECIES
S 32.06 S.upf
C 12.01 C.upf
Ga 69.72 Ga.upf
Cl 35.45 Cl.upf
ATOMIC_POSITIONS crystal
S 0.0000 0.5000 0.0000
S 0.5000 0.0000 0.0000
C 0.0000 0.0000 0.0000
Ga 0.5000 0.5000 0.5000
Cl 0.0000 0.0000 0.5000
CELL_PARAMETERS angstrom
-1.0741 0.9309 -3.5847
0.9496 -3.5385 -1.2035
-5.9736 -2.0324 1.2621
! magnetization	0.00	μB per formula unit
! total energy	-3.977	eV per atom
! raw formation energy	0.7745	eV per atom

Entry 6:
! Gd2CCl2 | Alexandria via LeMat-Bulk | GGA-PBEsol | relaxed; values from VASP
&SYSTEM
  ibrav = 0, nat = 5, ntyp = 3
/
ATOMIC_SPECIES
Gd 157.25 Gd.upf
C 12.01 C.upf
Cl 35.45 Cl.upf
ATOMIC_POSITIONS crystal
Gd 0.6667 0.3333 0.6433
Gd 0.3333 0.6667 0.3567
C 0.0000 0.0000 0.5000
Cl 0.6667 0.3333 0.1745
Cl 0.3333 0.6667 0.8255
CELL_PARAMETERS angstrom
-0.9974 0.5696 -3.5355
-2.3087 -1.7597 2.3221
-3.8942 8.3298 2.4406
! magnetization	13.96	μB per formula unit
! total energy	-10.007	eV per atom
! raw formation energy	-1.4959	eV per atom

Entry 7:
! GeCCl2 | Alexandria via LeMat-Bulk | GGA-PBEsol | relaxed; values from VASP
&SYSTEM
  ibrav = 0, nat = 4, ntyp = 3
/
ATOMIC_SPECIES
Ge 72.64 Ge.upf
C 12.01 C.upf
Cl 35.45 Cl.upf
ATOMIC_POSITIONS crystal
Ge 0.5000 0.5000 0.5000
C 0.0000 0.0000 0.0000
Cl 0.2500 0.2500 0.2500
Cl 0.7500 0.7500 0.7500
CELL_PARAMETERS angstrom
-2.3749 3.8935 0.2766
-3.8761 0.1451 2.4148
-0.1518 2.3084 3.9401
! magnetization	1.52	μB per formula unit
! total energy	-3.247	eV per atom
! raw formation energy	1.4024	eV per atom

Entry 8:
! Ge2RuC4Cl6O4 | Alexandria via LeMat-Bulk | GGA-PBEsol | relaxed; values from VASP
&SYSTEM
  ibrav = 0, nat = 34, ntyp = 5
/
ATOMIC_SPECIES
Ge 72.64 Ge.upf
Ru 101.07 Ru.upf
C 12.01 C.upf
Cl 35.45 Cl.upf
O 16.00 O.upf
ATOMIC_POSITIONS crystal
Ge 0.2891 0.5053 0.3324
Ge 0.7891 0.0053 0.1676
Ge 0.7109 0.4947 0.6676
Ge 0.2109 0.9947 0.8324
Ru 0.5000 0.5000 0.5000
Ru 0.0000 0.0000 0.0000
C 0.5074 0.7092 0.5168
C 0.0074 0.2092 0.9832
C 0.4926 0.2908 0.4832
C 0.9926 0.7908 0.0168
C 0.6654 0.5229 0.3696
C 0.1654 0.0229 0.1304
C 0.3346 0.4771 0.6304
C 0.8346 0.9771 0.8696
Cl 0.3655 0.4842 0.1345
Cl 0.8655 0.9842 0.3655
Cl 0.6345 0.5158 0.8655
Cl 0.1345 0.0158 0.6345
Cl 0.1021 0.3328 0.3541
Cl 0.6021 0.8328 0.1459
Cl 0.8979 0.6672 0.6459
Cl 0.3979 0.1672 0.8541
Cl 0.1640 0.7001 0.3352
Cl 0.6640 0.2001 0.1648
Cl 0.8360 0.2999 0.6648
Cl 0.3360 0.7999 0.8352
O 0.5128 0.8324 0.5259
O 0.0128 0.3324 0.9741
O 0.4872 0.1676 0.4741
O 0.9872 0.6676 0.0259
O 0.7634 0.5377 0.2932
O 0.2633 0.0377 0.2068
O 0.2366 0.4623 0.7068
O 0.7366 0.9623 0.7932
CELL_PARAMETERS angstrom
8.4646 0.0277 0.0000
-0.7756 9.2561 0.0000
0.0000 0.0000 10.3655
! magnetization	0.00	μB per formula unit
! total energy	-6.150	eV per atom
! raw formation energy	-0.7577	eV per atom

Entry 9:
! GeC2SeCl | Alexandria via LeMat-Bulk | GGA-PBEsol | relaxed; values from VASP
&SYSTEM
  ibrav = 0, nat = 5, ntyp = 4
/
ATOMIC_SPECIES
Ge 72.64 Ge.upf
C 12.01 C.upf
Se 78.96 Se.upf
Cl 35.45 Cl.upf
ATOMIC_POSITIONS crystal
Ge 0.0000 0.0000 0.5000
C 0.0000 0.5000 0.0000
C 0.5000 0.0000 0.0000
Se 0.0000 0.0000 0.0000
Cl 0.5000 0.5000 0.5000
CELL_PARAMETERS angstrom
-0.2204 -3.7298 0.9507
2.0829 -0.9163 -3.1122
4.7184 0.4893 3.0138
! magnetization	0.00	μB per formula unit
! total energy	-4.052	eV per atom
! raw formation energy	1.9646	eV per atom

Entry 10:
! Hg2H6CN3Cl5 | Alexandria via LeMat-Bulk | GGA-PBEsol | relaxed; values from VASP
&SYSTEM
  ibrav = 0, nat = 34, ntyp = 5
/
ATOMIC_SPECIES
C 12.01 C.upf
Cl 35.45 Cl.upf
H 1.01 H.upf
Hg 200.59 Hg.upf
N 14.01 N.upf
ATOMIC_POSITIONS crystal
C 0.3757 0.7515 0.7500
C 0.6243 0.2485 0.2500
Cl 0.3678 0.0000 0.5000
Cl 0.6322 0.0000 0.0000
Cl 0.6884 0.5930 0.5780
Cl 0.3116 0.4070 0.0780
Cl 0.9046 0.5930 0.9220
Cl 0.0954 0.4070 0.4220
Cl 0.7497 0.7978 0.3408
Cl 0.2503 0.2022 0.8408
Cl 0.0482 0.7978 0.1592
Cl 0.9518 0.2022 0.6592
H 0.1391 0.7742 0.6538
H 0.8609 0.2258 0.1538
H 0.6351 0.7742 0.8462
H 0.3649 0.2258 0.3462
H 0.4123 0.9749 0.6865
H 0.5877 0.0251 0.1865
H 0.5626 0.9749 0.8135
H 0.4374 0.0251 0.3135
H 0.1843 0.4974 0.7055
H 0.8157 0.5026 0.2055
H 0.3132 0.4974 0.7945
H 0.6868 0.5026 0.2945
Hg 0.7291 0.7369 0.4646
Hg 0.2709 0.2631 0.9646
Hg 0.0078 0.7369 0.0354
Hg 0.9922 0.2631 0.5354
N 0.2863 0.8421 0.6950
N 0.7137 0.1579 0.1950
N 0.5558 0.8421 0.8050
N 0.4442 0.1579 0.3050
N 0.2856 0.5712 0.7500
N 0.7144 0.4288 0.2500
CELL_PARAMETERS angstrom
4.0149 0.0000 0.0000
-2.0075 7.3893 0.0000
0.0000 0.0000 18.5512
! magnetization	0.00	μB per formula unit
! total energy	-4.421	eV per atom

Entry 11:
! MnH18C4N8Cl4O4 | Alexandria via LeMat-Bulk | GGA-PBEsol | relaxed; values from VASP
&SYSTEM
  ibrav = 0, nat = 78, ntyp = 6
/
ATOMIC_SPECIES
Mn 54.94 Mn.upf
H 1.01 H.upf
C 12.01 C.upf
N 14.01 N.upf
Cl 35.45 Cl.upf
O 16.00 O.upf
ATOMIC_POSITIONS crystal
Mn 0.5000 0.0000 0.5000
Mn 0.0000 0.5000 0.0000
H 0.2841 0.2209 0.5047
H 0.7841 0.2791 0.0047
H 0.7159 0.7791 0.4953
H 0.2159 0.7209 0.9953
H 0.1141 0.1155 0.4901
H 0.6141 0.3845 0.9901
H 0.8859 0.8845 0.5099
H 0.3859 0.6155 0.0099
H 0.0115 0.2989 0.2128
H 0.5115 0.2011 0.7128
H 0.9885 0.7011 0.7872
H 0.4885 0.7989 0.2872
H 0.1262 0.1844 0.3146
H 0.6262 0.3156 0.8146
H 0.8738 0.8156 0.6854
H 0.3738 0.6844 0.1854
H 0.1349 0.9986 0.2510
H 0.6349 0.5014 0.7510
H 0.8651 0.0014 0.7490
H 0.3651 0.4986 0.2490
H 0.8913 0.7310 0.1445
H 0.3913 0.7690 0.6445
H 0.1087 0.2690 0.8555
H 0.6087 0.2310 0.3555
H 0.0454 0.8078 0.2703
H 0.5454 0.6922 0.7703
H 0.9546 0.1922 0.7297
H 0.4546 0.3078 0.2297
H 0.6718 0.8432 0.9917
H 0.1718 0.6568 0.4917
H 0.3282 0.1568 0.0083
H 0.8282 0.3432 0.5083
H 0.7084 0.0031 0.9953
H 0.2084 0.4969 0.4953
H 0.2916 0.9969 0.0047
H 0.7916 0.5031 0.5047
C 0.9363 0.1285 0.1540
C 0.4363 0.3715 0.6540
C 0.0637 0.8715 0.8460
C 0.5637 0.6285 0.3460
C 0.8902 0.9125 0.1328
C 0.3902 0.5875 0.6328
C 0.1098 0.0875 0.8672
C 0.6098 0.4125 0.3672
N 0.0353 0.2094 0.2314
N 0.5353 0.2906 0.7314
N 0.9647 0.7906 0.7686
N 0.4647 0.7094 0.2686
N 0.9884 0.0117 0.1883
N 0.4884 0.4883 0.6883
N 0.0116 0.9883 0.8117
N 0.5116 0.5117 0.3117
N 0.9549 0.8089 0.1840
N 0.4549 0.6911 0.6840
N 0.0451 0.1911 0.8160
N 0.5451 0.3089 0.3160
N 0.7394 0.9201 0.0322
N 0.2394 0.5799 0.5322
N 0.2606 0.0799 0.9678
N 0.7606 0.4201 0.4678
Cl 0.4949 0.9985 0.2890
Cl 0.9949 0.5015 0.7890
Cl 0.5051 0.0015 0.7110
Cl 0.0051 0.4985 0.2110
Cl 0.1835 0.8548 0.4592
Cl 0.6835 0.6452 0.9592
Cl 0.8165 0.1452 0.5408
Cl 0.3165 0.3548 0.0408
O 0.2483 0.1394 0.4650
O 0.7483 0.3606 0.9650
O 0.7517 0.8606 0.5350
O 0.2517 0.6394 0.0350
O 0.8068 0.1515 0.0560
O 0.3068 0.3485 0.5560
O 0.1932 0.8485 0.9440
O 0.6932 0.6515 0.4440
CELL_PARAMETERS angstrom
6.3041 0.0000 -0.0455
0.0000 11.2455 0.0000
-2.7602 0.0000 11.3631
! magnetization	5.00	μB per formula unit
! total energy	-5.919	eV per atom

Entry 12:
! ReH22C4S4N8Cl8O3 | Alexandria via LeMat-Bulk | GGA-PBEsol | relaxed; values from VASP
&SYSTEM
  ibrav = 0, nat = 100, ntyp = 7
/
ATOMIC_SPECIES
Re 186.21 Re.upf
H 1.01 H.upf
C 12.01 C.upf
S 32.06 S.upf
N 14.01 N.upf
Cl 35.45 Cl.upf
O 16.00 O.upf
ATOMIC_POSITIONS crystal
Re 0.8442 0.1558 0.7500
Re 0.1558 0.8442 0.2500
H 0.3705 0.9080 0.6279
H 0.9080 0.3705 0.3721
H 0.3705 0.9080 0.8721
H 0.9080 0.3705 0.1279
H 0.6295 0.0920 0.3721
H 0.0920 0.6295 0.6279
H 0.6295 0.0920 0.1279
H 0.0920 0.6295 0.8721
H 0.3838 0.0974 0.6757
H 0.0974 0.3838 0.3243
H 0.3838 0.0974 0.8243
H 0.0974 0.3838 0.1757
H 0.6162 0.9026 0.3243
H 0.9026 0.6162 0.6757
H 0.6162 0.9026 0.1757
H 0.9026 0.6162 0.8243
H 0.3160 0.8889 0.4881
H 0.8889 0.3160 0.5119
H 0.3160 0.8889 0.0119
H 0.8889 0.3160 0.9881
H 0.6840 0.1111 0.5119
H 0.1111 0.6840 0.4881
H 0.6840 0.1111 0.9881
H 0.1111 0.6840 0.0119
H 0.2763 0.0526 0.4354
H 0.0526 0.2763 0.5646
H 0.2763 0.0526 0.0646
H 0.0526 0.2763 0.9354
H 0.7237 0.9474 0.5646
H 0.9474 0.7237 0.4354
H 0.7237 0.9474 0.9354
H 0.9474 0.7237 0.0646
H 0.4176 0.3381 0.7500
H 0.3381 0.4176 0.2500
H 0.5824 0.6619 0.2500
H 0.6619 0.5824 0.7500
H 0.2496 0.2466 0.7500
H 0.2466 0.2496 0.2500
H 0.7504 0.7534 0.2500
H 0.7534 0.7504 0.7500
H 0.4229 0.5771 0.7015
H 0.5771 0.4229 0.2985
H 0.4229 0.5771 0.7985
H 0.5771 0.4229 0.2015
C 0.3369 0.0858 0.5551
C 0.0858 0.3369 0.4449
C 0.3369 0.0858 0.9449
C 0.0858 0.3369 0.0551
C 0.6631 0.9142 0.4449
C 0.9142 0.6631 0.5551
C 0.6631 0.9142 0.0551
C 0.9142 0.6631 0.9449
S 0.3367 0.2883 0.5581
S 0.2883 0.3367 0.4419
S 0.3367 0.2883 0.9419
S 0.2883 0.3367 0.0581
S 0.6633 0.7117 0.4419
S 0.7117 0.6633 0.5581
S 0.6633 0.7117 0.0581
S 0.7117 0.6633 0.9419
N 0.3702 0.0264 0.6245
N 0.0264 0.3702 0.3755
N 0.3702 0.0264 0.8755
N 0.0264 0.3702 0.1245
N 0.6298 0.9736 0.3755
N 0.9736 0.6298 0.6245
N 0.6298 0.9736 0.1245
N 0.9736 0.6298 0.8755
N 0.3119 0.0052 0.4877
N 0.0052 0.3119 0.5123
N 0.3119 0.0052 0.0123
N 0.0052 0.3119 0.9877
N 0.6881 0.9948 0.5123
N 0.9948 0.6881 0.4877
N 0.6881 0.9948 0.9877
N 0.9948 0.6881 0.0123
Cl 0.7201 0.2799 0.6488
Cl 0.2799 0.7201 0.3512
Cl 0.7201 0.2799 0.8512
Cl 0.2799 0.7201 0.1488
Cl 0.9699 0.0301 0.6497
Cl 0.0301 0.9699 0.3503
Cl 0.9699 0.0301 0.8503
Cl 0.0301 0.9699 0.1497
Cl 0.6401 0.9472 0.7500
Cl 0.9472 0.6401 0.2500
Cl 0.3599 0.0528 0.2500
Cl 0.0528 0.3599 0.7500
Cl 0.3320 0.6680 0.5932
Cl 0.6680 0.3320 0.4068
Cl 0.3320 0.6680 0.9068
Cl 0.6680 0.3320 0.0932
O 0.3592 0.2296 0.7500
O 0.2296 0.3592 0.2500
O 0.6408 0.7704 0.2500
O 0.7704 0.6408 0.7500
O 0.4680 0.5320 0.7500
O 0.5320 0.4680 0.2500
CELL_PARAMETERS angstrom
8.7778 0.0663 0.0000
-1.4135 8.6635 0.0000
0.0000 0.0000 16.4881
! magnetization	3.00	μB per formula unit
! total energy	-5.371	eV per atom